Entry 1:
15
Lattice="7.926 -0.114 -0.164 -3.868 6.910 0.126 -3.868 -2.280 6.524" Properties=species:S:1:pos:R:3 comment="PBE Pm4Ho3S8, relaxed" total_magnetization_mub_per_atom=0.000 dos_ef_per_ev_cell=6.32 rho_kg_m3=6298 e_form_raw_mev_per_atom=-2032 spacegroup="C2/m (12)" pbc="T T T"
S 0.095 0.001 4.815
S 2.112 3.323 4.773
S 2.027 1.139 1.636
S -1.837 3.377 4.851
S 0.095 4.515 1.672
S -3.868 4.579 1.749
S -1.922 1.193 1.714
S -3.868 0.051 4.901
Pm -1.934 3.455 0.063
Pm -1.934 -1.140 3.262
Pm 3.963 -0.057 -0.082
Pm 0.000 0.000 0.000
Ho 0.095 2.258 3.244
Ho 2.029 3.398 -0.019
Ho 2.029 -1.197 3.180

---

Entry 2:
12
Lattice="-0.549 2.060 -3.309 -3.074 -0.910 2.284 2.531 17.090 10.217" Properties=species:S:1:pos:R:3 comment="PBE Pm2HoS3, relaxed" total_magnetization_mub_per_atom=0.000 dos_ef_per_ev_cell=5.81 rho_kg_m3=6795 e_form_raw_mev_per_atom=-1989 spacegroup="P6_3/mmc (194)" relative_energy_ev_per_atom=0.021 pbc="T T T"
S 1.266 8.545 5.108
S 0.712 15.266 7.042
S 0.304 12.509 5.393
S -1.804 2.974 2.150
S -1.395 5.731 3.798
S 0.000 0.000 0.000
Pm -0.755 10.050 6.380
Pm -1.179 2.495 -0.593
Pm 0.088 15.744 9.784
Pm -0.336 8.189 2.811
Ho 0.633 4.273 2.554
Ho 1.899 12.818 7.662

---

Entry 3:
14
Lattice="3.844 0.000 0.000 -1.922 6.456 0.000 0.000 0.000 13.164" Properties=species:S:1:pos:R:3 comment="PBE PmHo2S4, relaxed" total_magnetization_mub_per_atom=0.000 dos_ef_per_ev_cell=3.17 rho_kg_m3=6132 e_form_raw_mev_per_atom=-2069 spacegroup="Cmcm (63)" relative_energy_ev_per_atom=0.000 pbc="T T T"
Pm 0.000 4.845 3.291
Pm 1.922 1.610 9.873
S 1.922 0.000 0.000
S 1.922 5.991 9.873
S 0.000 0.465 3.291
S 0.000 2.923 8.157
S 1.922 3.533 1.575
S 0.000 2.923 11.589
S 1.922 0.000 6.582
S 1.922 3.533 5.007
Ho 1.922 4.779 12.262
Ho 1.922 4.779 7.484
Ho 0.000 1.677 5.680
Ho 0.000 1.677 0.902

---

Entry 4:
10
Lattice="-0.561 3.869 -0.110 -5.020 -0.790 -2.189 -1.086 -1.844 10.150" Properties=species:S:1:pos:R:3 comment="PBE PmHo4S5, relaxed" total_magnetization_mub_per_atom=0.000 dos_ef_per_ev_cell=4.48 rho_kg_m3=7553 e_form_raw_mev_per_atom=-1977 spacegroup="Immm (71)" pbc="T T T"
S -5.574 -0.636 6.019
S -4.053 -0.516 2.489
S -2.510 -0.395 -1.094
S -2.613 1.751 5.361
S -1.093 1.871 1.831
Ho -3.561 1.479 0.641
Ho -5.102 1.358 4.218
Ho -3.105 -0.244 7.210
Ho -1.565 -0.123 3.633
Pm 0.000 0.000 0.000